Below is crystalline ZnIrCl2 at its relaxed geometry, with properties calculated at the GGA-PBE level.

Lattice parameters (Å, degrees): 3.316 3.316 9.551 90.00 90.00 119.80
Atoms (fractional coordinates):
Ir  0.500  0.500  0.250
Zn  0.500  0.500  0.750
Cl  0.000  0.000  0.075
Cl  0.000  0.000  0.425

* crystal system: orthorhombic
* ΔE to the lowest computed polymorph: 477 meV/atom
* space-group type: Cmmm



Below is crystalline Pr5Te8Au at its relaxed geometry, with properties calculated at the GGA-PBE level.

Lattice parameters (Å, degrees): 8.305 8.305 8.305 110.48 107.47 110.48
Atoms (fractional coordinates):
Te  0.649  0.399  0.887
Te  0.145  0.744  0.018
Te  0.489  0.601  0.251
Te  0.113  0.762  0.511
Te  0.982  0.128  0.726
Te  0.274  0.256  0.401
Te  0.749  0.238  0.351
Te  0.599  0.872  0.855
Pr  0.500  0.000  0.500
Pr  0.865  0.877  0.241
Pr  0.364  0.123  0.988
Pr  0.012  0.376  0.135
Pr  0.759  0.624  0.636
Au  0.250  0.500  0.750

* crystal system: tetragonal
* energy: -69.817 eV/f.u.
* space-group type: I-4



Below is crystalline Zn2InPt at its relaxed geometry, with properties calculated at the GGA-PBE level.

Lattice parameters (Å, degrees): 4.844 4.844 4.316 72.40 72.40 45.58
Atoms (fractional coordinates):
In  0.250  0.250  0.250
Zn  0.014  0.014  0.955
Zn  0.486  0.486  0.545
Pt  0.750  0.750  0.750

* crystal system: monoclinic
* ΔE_f: -0.22 eV/atom
* space-group type: C2/m



Below is crystalline Er3Zn4Ag2 at its relaxed geometry, with properties calculated at the GGA-PBE level.

Lattice parameters (Å, degrees): 4.525 5.701 8.257 73.87 74.10 66.62
Atoms (fractional coordinates):
Er  0.000  0.000  0.000
Er  0.670  0.324  0.335
Er  0.330  0.676  0.665
Zn  0.955  0.706  0.385
Zn  0.274  0.399  0.053
Zn  0.045  0.294  0.615
Zn  0.726  0.601  0.947
Ag  0.393  0.941  0.273
Ag  0.607  0.059  0.727

* crystal system: monoclinic
* ΔE_f: -0.33 eV/atom
* space-group type: C2/m



Below is crystalline LiCaIn2Cu at its relaxed geometry, with properties calculated at the GGA-PBE level.

Lattice parameters (Å, degrees): 5.020 5.020 4.839 90.00 90.00 90.00
Atoms (fractional coordinates):
Ca  0.500  0.500  0.500
Li  0.000  0.000  0.500
In  0.500  0.000  0.000
In  0.000  0.500  0.000
Cu  0.000  0.000  0.000

* crystal system: tetragonal
* ΔE_f: -0.12 eV/atom
* space-group type: P4/mmm



Below is crystalline RbMnCd2S4 at its relaxed geometry, with properties calculated at the GGA-PBE level.

Lattice parameters (Å, degrees): 6.445 6.445 6.933 117.71 117.71 90.02
Atoms (fractional coordinates):
S  0.832  0.448  0.280
S  0.552  0.552  0.720
S  0.168  0.168  0.720
S  0.448  0.832  0.280
Mn  0.500  0.500  0.000
Cd  0.750  0.250  0.500
Cd  0.250  0.750  0.500
Rb  0.000  0.000  0.000

* crystal system: tetragonal
* energy: -33.362 eV/f.u.
* space-group type: I-42m



Below is crystalline CsLi2TlSb at its relaxed geometry, with properties calculated at the GGA-PBE level.

Lattice parameters (Å, degrees): 5.331 5.331 6.805 90.00 90.00 90.00
Atoms (fractional coordinates):
Li  0.000  0.500  0.000
Li  0.500  0.000  0.000
Tl  0.000  0.000  0.500
Sb  0.000  0.000  0.000
Cs  0.500  0.500  0.500

* crystal system: tetragonal
* energy: -12.057 eV/f.u.
* space-group type: P4/mmm



Below is crystalline BeAl2Se at its relaxed geometry, with properties calculated at the GGA-PBE level.

Lattice parameters (Å, degrees): 3.436 2.676 7.088 89.98 90.00 90.00
Atoms (fractional coordinates):
Be  0.500  0.250  0.250
Se  0.500  0.750  0.750
Al  0.000  0.750  0.045
Al  0.000  0.750  0.455

* crystal system: orthorhombic
* ΔE to the lowest computed polymorph: 0 meV/atom
* space-group type: Pmmm



Number 1: total moment 0.00 μB per cell. Number 2: total moment 0.00 μB per cell. Number 3: total moment 0.00 μB per cell. Number 4: total moment 0.00 μB per cell. Number 5: total moment 0.00 μB per cell. Number 6: total moment 4.00 μB per cell. Number 7: total moment 0.00 μB per cell. Number 8: total moment 0.00 μB per cell.